(1)
Here is a relaxed structure of SiTcMo from Alexandria via LeMat-Bulk. Energies are from GGA-PBE.

a b c (Å): 4.8456 5.9317 5.9100
angles (deg): 90.00 90.00 90.00
Closest atoms and distances in Å follow each position.
Fractional positions:
1 Mo 0.2500 0.6467 0.8148  1 Tc 2.55, 4 Si 2.57-2.58
2 Mo 0.7500 0.3533 0.8148  1 Tc 2.55, 4 Si 2.57-2.58
3 Mo 0.7500 0.1467 0.3148  1 Tc 2.55, 4 Si 2.57-2.58
4 Mo 0.2500 0.8533 0.3148  1 Tc 2.55, 4 Si 2.57-2.58
5 Tc 0.7500 0.6564 0.1196  4 Si 2.52-2.55, 1 Mo 2.55
6 Tc 0.7500 0.8436 0.6196  4 Si 2.52-2.55, 1 Mo 2.55
7 Tc 0.2500 0.3436 0.1196  4 Si 2.52-2.55, 1 Mo 2.55
8 Tc 0.2500 0.1564 0.6196  4 Si 2.52-2.55, 1 Mo 2.55
9 Si 0.0000 0.0000 0.9593  2 Si 2.42, 4 Tc 2.52-2.55, 4 Mo 2.57-2.58
10 Si 0.0000 0.5000 0.4593  2 Si 2.42, 4 Tc 2.52-2.55, 4 Mo 2.57-2.58
11 Si 0.5000 0.0000 0.9593  2 Si 2.42, 4 Tc 2.52-2.55, 4 Mo 2.57-2.58
12 Si 0.5000 0.5000 0.4593  2 Si 2.42, 4 Tc 2.52-2.55, 4 Mo 2.57-2.58

Output
SG: Ima2
E_form (uncorrected): -0.37 eV per atom
relative energy among the computed polymorphs: 0.00 kcal/mol of atoms

(2)
Here is a relaxed structure of TaTeH2S from Alexandria via LeMat-Bulk. Energies are from GGA-PBE.

a b c (Å): 3.8710 5.5434 3.8710
angles (deg): 90.00 90.00 90.00
Closest atoms and distances in Å follow each position.
Fractional positions:
1 Ta 0.0000 0.0000 0.0000  4 H 1.94
2 Te 0.0000 0.5000 0.0000  4 S 2.74, 2 Ta 2.77
3 H 0.0000 0.0000 0.5000  2 Ta 1.94
4 H 0.5000 0.0000 0.0000  2 Ta 1.94
5 S 0.5000 0.5000 0.5000  4 Te 2.74

Output
E_tot: -4.704 eV per atom
SG: P4/mmm

(3)
Here is a relaxed structure of CsHfS3 from Alexandria via LeMat-Bulk. Energies are from GGA-PBE.

a b c (Å): 9.4150 9.4150 7.6785
angles (deg): 90.00 90.00 143.98
Closest atoms and distances in Å follow each position.
Fractional positions:
1 S 0.4541 0.1032 0.2500  1 Hf 2.34, 1 S 2.58
2 S 0.0000 0.0000 0.5000  2 Hf 2.41
3 S 0.1032 0.4541 0.7500  1 Hf 2.34, 1 S 2.58
4 S 0.0000 0.0000 0.0000  2 Hf 2.41
5 S 0.5459 0.8968 0.7500  1 Hf 2.34, 1 S 2.58
6 S 0.8968 0.5459 0.2500  1 Hf 2.34, 1 S 2.58
7 Hf 0.9190 0.0810 0.7500  4 S 2.34-2.41
8 Hf 0.0810 0.9190 0.2500  4 S 2.34-2.41
9 Cs 0.3485 0.6515 0.2500  2 S 3.50
10 Cs 0.6515 0.3485 0.7500  2 S 3.50

Output
SG: Cmcm
E_form (uncorrected): -1.09 eV per atom
relative energy among the computed polymorphs: 7.02 kcal/mol of atoms

no.,spin magnetization (μB per formula unit),density (Mg/m³)
1,0.00,8.68
2,1.08,6.85
3,0.00,3.38